Compound: Sc2InRu
Source: the Alexandria database
Functional: GGA-PBE
Structure: relaxed

```
Sc2InRu
1.0
4.7173 0.0000 0.0000
0.0000 4.7173 0.0000
0.0000 0.0000 6.7276
Sc In Ru
4 2 2
direct
0.0000 0.0000 0.0000
0.0000 0.5000 0.2500
0.5000 0.0000 0.7500
0.5000 0.5000 0.5000
0.0000 0.5000 0.7500
0.5000 0.0000 0.2500
0.0000 0.0000 0.5000
0.5000 0.5000 0.0000
```

Calculated values
- Space-group type: I-4m2 (119)
- Energy relative to the elements: -0.327 eV/atom
- Magnetization: 0.000 μB/cell
- D(E_F): 7.88 states/eV/cell